This record from the Alexandria database describes crystalline CaGaSn at its relaxed geometry. The functional is PBE-GGA.

The structure in extended XYZ format:
```
12
Lattice="7.346 0.000 0.000 0.000 4.606 0.000 0.000 0.000 9.009" Properties=species:S:1:pos:R:3 pbc="T T T"
Ca 0.042 1.151 1.693
Ca 3.631 3.454 6.197
Ca 3.714 1.151 2.812
Ca 7.304 3.454 7.316
Ga 1.309 1.151 5.339
Ga 2.364 3.454 0.835
Ga 4.982 1.151 8.174
Ga 6.036 3.454 3.670
Sn 1.553 3.454 3.679
Sn 2.119 1.151 8.184
Sn 5.226 3.454 0.825
Sn 5.792 1.151 5.329
```

Values from the calculation:
DFT total energy = -3.482 eV per atom
Crystal system = orthorhombic
Volume = 305 Å³/cell
ΔH_f (0 K) = -0.472 eV per atom